Record 1
Mn2HgAs2: optimized geometry, PBE.

Geometry as POSCAR:
```
Mn2HgAs2
1.0
4.312 0.000 0.000
0.000 4.312 0.000
2.156 2.156 5.087
As Mn Hg
2 2 1
direct
0.632 0.632 0.735
0.368 0.368 0.265
0.250 0.750 0.500
0.750 0.250 0.500
0.000 0.000 0.000
```

Calculated values
offset from the most stable computed form	0.00	eV per formula unit
formation energy from the elements	58	meV/atom
final energy	-5.530	eV/atom



Record 2
HgWS3: optimized geometry, PBE.

Geometry as POSCAR:
```
HgWS3
1.0
4.885 0.000 0.000
0.000 4.885 0.000
0.000 0.000 4.885
Hg S W
1 3 1
direct
0.000 0.000 0.000
0.000 0.500 0.000
0.000 0.000 0.500
0.500 0.000 0.000
0.500 0.500 0.500
```

Calculated values
offset from the most stable computed form	8.23	eV per formula unit
final energy	-3.439	eV/atom



Q: The highest final energy belongs to which entry?
A: HgWS3



Repeat the second record exactly.
HgWS3: optimized geometry, PBE.

Geometry as POSCAR:
```
HgWS3
1.0
4.885 0.000 0.000
0.000 4.885 0.000
0.000 0.000 4.885
Hg S W
1 3 1
direct
0.000 0.000 0.000
0.000 0.500 0.000
0.000 0.000 0.500
0.500 0.000 0.000
0.500 0.500 0.500
```

Calculated values
offset from the most stable computed form	8.23	eV per formula unit
final energy	-3.439	eV/atom



Q: Look up the offset from the most stable computed form of the first one.
A: 0.00 eV per formula unit